Sr2HfIr: relaxed, PBE.

Geometry as POSCAR:
```
Sr2HfIr
1.0
0.755 2.167 4.665
-2.398 4.449 1.219
-3.832 0.010 3.513
Hf Ir Sr
1 1 2
direct
0.750 0.750 0.750
0.500 0.500 0.500
0.000 0.000 0.000
0.250 0.250 0.250
```

Properties
- total energy (eV/atom) = -5.137
- volume (Å³ per cell) = 99
- total magnetic moment (μB/atom) = 0.0004

***

SrHfIr: relaxed, PBE.

Geometry as POSCAR:
```
SrHfIr
1.0
-0.333 2.588 4.000
-4.284 0.921 1.898
-1.296 -2.089 4.094
Hf Ir Sr
1 1 1
direct
0.250 0.250 0.250
0.000 0.000 0.000
0.750 0.750 0.750
```

Properties
- total energy (eV/atom) = -6.822
- volume (Å³ per cell) = 77
- energy relative to the lowest polymorph listed for this composition (meV/atom) = 0.0
- total magnetic moment (μB/atom) = 0.0006

***

HfTaIr2: relaxed, PBE.

Geometry as POSCAR:
```
HfTaIr2
1.0
-4.327 1.116 0.839
-1.887 3.546 -2.129
-3.181 -0.685 -3.176
Hf Ir Ta
1 2 1
direct
0.000 0.000 0.000
0.250 0.250 0.250
0.500 0.500 0.500
0.750 0.750 0.750
```

Properties
- total energy (eV/atom) = -10.212
- volume (Å³ per cell) = 66
- total magnetic moment (μB/atom) = 0.0001

***

HfTa2Ir: relaxed, PBE.

Geometry as POSCAR:
```
HfTa2Ir
1.0
1.487 -1.733 4.025
1.829 2.806 3.194
-2.324 0.890 3.902
Hf Ir Ta
1 1 2
direct
0.750 0.750 0.750
0.500 0.500 0.500
0.000 0.000 0.000
0.250 0.250 0.250
```

Properties
- total energy (eV/atom) = -10.989
- volume (Å³ per cell) = 70
- total magnetic moment (μB/atom) = 0.0005

***

HfTaIr: relaxed, PBE.

Geometry as POSCAR:
```
HfTaIr
1.0
-0.834 -3.627 2.440
-3.658 -2.412 -0.778
0.348 -4.041 -1.831
Hf Ir Ta
1 1 1
direct
0.250 0.250 0.250
0.000 0.000 0.000
0.750 0.750 0.750
```

Properties
- total energy (eV/atom) = -10.540
- volume (Å³ per cell) = 62
- energy relative to the lowest polymorph listed for this composition (meV/atom) = 0.0
- total magnetic moment (μB/atom) = 0.0028

***

HfTcIr2: relaxed, PBE.

Geometry as POSCAR:
```
HfTcIr2
1.0
0.000 3.176 3.176
3.176 0.000 3.176
3.176 3.176 0.000
Hf Ir Tc
1 2 1
direct
0.500 0.500 0.500
0.000 0.000 0.000
0.250 0.250 0.250
0.750 0.750 0.750
```

Properties
- total energy (eV/atom) = -9.668
- volume (Å³ per cell) = 64
- total magnetic moment (μB/atom) = 0.0327

***

HfTcIr2: relaxed, PBE.

Geometry as POSCAR:
```
HfTcIr2
1.0
2.246 1.297 3.668
-2.246 1.297 3.668
0.000 -2.593 3.668
Hf Ir Tc
1 2 1
direct
0.250 0.250 0.250
0.500 0.500 0.500
0.750 0.750 0.750
0.000 0.000 0.000
```

Properties
- total energy (eV/atom) = -9.668
- volume (Å³ per cell) = 64
- total magnetic moment (μB/atom) = 0.0327

***

HfThIr: relaxed, PBE.

Geometry as POSCAR:
```
HfThIr
1.0
0.503 -0.205 4.751
3.879 1.873 2.077
-0.378 3.983 2.619
Hf Ir Th
1 1 1
direct
0.750 0.750 0.750
0.000 0.000 0.000
0.250 0.250 0.250
```

Properties
- total energy (eV/atom) = -9.140
- volume (Å³ per cell) = 77
- energy relative to the lowest polymorph listed for this composition (meV/atom) = 0.0
- total magnetic moment (μB/atom) = 0.0070